[1]
A relaxed TlIn3Hg crystal, computed with GGA-PBE.

The value obtained for the density of states at the Fermi level is 2.0 states/eV/f.u. For the formation energy, the calculation gives 2.1 kJ/mol of atoms. Its total magnetization is 0.00 μB/cell. The final energy comes out at -10.8 eV per formula unit. The value obtained for the polymorph energy (0 for the lowest one) is 0.003 eV/atom.

It has space group P2_1/m (No. 11), with a = 7.320 Å, b = 4.760 Å, c = 8.486 Å, α = 90.00°, β = 105.95° and γ = 90.00°. The asymmetric unit holds Tl at (0.036, 0.250, 0.359), In at (0.153, 0.750, 0.052), In at (0.284, 0.250, 0.787), In at (0.358, 0.750, 0.446) and Hg at (0.438, 0.250, 0.170).

---

[2]
A relaxed TlInHg crystal, computed with GGA-PBE.

The value obtained for the density of states at the Fermi level is 1.1 states/eV/f.u. For the formation energy, the calculation gives 2.5 kJ/mol of atoms. Its total magnetization is 0.00 μB/cell. The final energy comes out at -5.3 eV per formula unit.

It has space group Fmm2 (No. 42), with a = 3.709 Å, b = 5.458 Å, c = 16.838 Å, α = 90.00°, β = 90.00° and γ = 90.00°. The asymmetric unit holds Tl at (0.000, 0.000, 0.000), In at (0.000, 0.000, 0.672) and Hg at (0.000, 0.000, 0.332).

---

[3]
A relaxed TlInHg crystal, computed with GGA-PBE.

The value obtained for the density of states at the Fermi level is 1.5 states/eV/f.u. For the formation energy, the calculation gives 0.4 kJ/mol of atoms. Its total magnetization is 0.00 μB/cell. The final energy comes out at -5.4 eV per formula unit.

It has space group Pnma (No. 62), with a = 8.611 Å, b = 3.434 Å, c = 11.422 Å, α = 90.00°, β = 90.00° and γ = 90.00°. The asymmetric unit holds Tl at (0.160, 0.250, 0.077), In at (0.074, 0.250, 0.391) and Hg at (0.137, 0.250, 0.787).

---

[4]
A relaxed TlIn2Hg8 crystal, computed with GGA-PBE.

The value obtained for the density of states at the Fermi level is 2.8 states/eV/f.u. For the formation energy, the calculation gives 1.1 kJ/mol of atoms. Its total magnetization is 0.00 μB/cell. The final energy comes out at -10.1 eV per formula unit. The value obtained for the polymorph energy (0 for the lowest one) is 0.000 eV/atom.

It has space group C2/m (No. 12), with a = 15.473 Å, b = 3.722 Å, c = 11.101 Å, α = 90.00°, β = 101.06° and γ = 90.00°. The asymmetric unit holds Tl at (0.000, 0.000, 0.000), In at (0.214, 0.500, 0.176), Hg at (0.045, 0.500, 0.636), Hg at (0.091, 0.000, 0.285), Hg at (0.144, 0.500, 0.901) and Hg at (0.186, 0.000, 0.557).

---

[5]
A relaxed Tl6In8Hg crystal, computed with GGA-PBE.

The value obtained for the density of states at the Fermi level is 6.0 states/eV/f.u. For the formation energy, the calculation gives 3.6 kJ/mol of atoms. Its total magnetization is 0.00 μB/cell. The final energy comes out at -35.9 eV per formula unit.

It has space group R-3 (No. 148, hexagonal axes), with a = 8.2184 Å, b = 8.2184 Å, c = 22.4896 Å, α = 90.00°, β = 90.00° and γ = 120.00°. The asymmetric unit holds Tl at (0.0202, 0.2489, 0.2120), In at (0.0000, 0.0000, 0.0773), In at (0.0547, 0.8012, 0.6376) and Hg at (0.0000, 0.0000, 0.5000).

---

[6]
A relaxed TlIn6Hg7 crystal, computed with GGA-PBE.

The value obtained for the density of states at the Fermi level is 5.7 states/eV/f.u. For the formation energy, the calculation gives 3.1 kJ/mol of atoms. Its total magnetization is 0.00 μB/cell. The final energy comes out at -20.5 eV per formula unit.

It has space group Ibam (No. 72), with a = 6.425 Å, b = 19.518 Å, c = 12.688 Å, α = 90.00°, β = 90.00° and γ = 90.00°. The asymmetric unit holds Tl at (0.000, 0.000, 0.250), In at (0.135, 0.433, 0.000), In at (0.136, 0.325, 0.360), Hg at (0.000, 0.500, 0.250), Hg at (0.131, 0.068, 0.000) and Hg at (0.134, 0.173, 0.361).

---

[7]
A relaxed TlInHg crystal, computed with GGA-PBE.

The value obtained for the density of states at the Fermi level is 1.4 states/eV/f.u. For the formation energy, the calculation gives 1.4 kJ/mol of atoms. Its total magnetization is 0.00 μB/cell. The final energy comes out at -5.4 eV per formula unit.

It has space group Pm (No. 6), with a = 6.228 Å, b = 3.269 Å, c = 8.510 Å, α = 90.00°, β = 99.92° and γ = 90.00°. The asymmetric unit holds Tl at (0.000, 0.000, 0.000), Tl at (0.198, 0.000, 0.642), In at (0.350, 0.500, 0.317), In at (0.696, 0.500, 0.661), Hg at (0.496, 0.500, 0.981) and Hg at (0.848, 0.500, 0.324).

---

[8]
A relaxed Tl9In2Hg crystal, computed with GGA-PBE.

The value obtained for the density of states at the Fermi level is 7.2 states/eV/f.u. For the formation energy, the calculation gives 2.3 kJ/mol of atoms. Its total magnetization is 0.00 μB/cell. The final energy comes out at -26.8 eV per formula unit.

It has space group P4/mmm (No. 123), with a = 5.726 Å, b = 5.726 Å, c = 11.005 Å, α = 90.00°, β = 90.00° and γ = 90.00°. The asymmetric unit holds Tl at (0.000, 0.000, 0.000), Tl at (0.000, 0.000, 0.334), Tl at (0.000, 0.500, 0.168), Tl at (0.000, 0.500, 0.500), In at (0.500, 0.500, 0.338) and Hg at (0.500, 0.500, 0.000).

---

[9]
A relaxed Tl4In3Hg8 crystal, computed with GGA-PBE.

The value obtained for the density of states at the Fermi level is 4.7 states/eV/f.u. For the formation energy, the calculation gives 1.8 kJ/mol of atoms. Its total magnetization is 0.00 μB/cell. The final energy comes out at -19.8 eV per formula unit. The value obtained for the polymorph energy (0 for the lowest one) is 0.000 eV/atom.

It has space group P-4m2 (No. 115), with a = 5.008 Å, b = 5.008 Å, c = 17.035 Å, α = 90.00°, β = 90.00° and γ = 90.00°. The asymmetric unit holds Tl at (0.000, 0.500, 0.117), Tl at (0.000, 0.500, 0.638), In at (0.000, 0.000, 0.000), In at (0.000, 0.000, 0.500), In at (0.500, 0.500, 0.500), Hg at (0.000, 0.000, 0.244), Hg at (0.000, 0.500, 0.373), Hg at (0.000, 0.500, 0.892) and Hg at (0.500, 0.500, 0.237).

---

[10]
A relaxed Tl2InHg crystal, computed with GGA-PBE.

The value obtained for the density of states at the Fermi level is 3.7 states/eV/f.u. For the formation energy, the calculation gives 4.1 kJ/mol of atoms. Its total magnetization is 0.00 μB/cell. The final energy comes out at -7.6 eV per formula unit. The value obtained for the polymorph energy (0 for the lowest one) is 0.042 eV/atom.

It has space group F-43m (No. 216), with a = 7.764 Å, b = 7.764 Å, c = 7.764 Å, α = 90.00°, β = 90.00° and γ = 90.00°. The asymmetric unit holds Tl at (0.000, 0.000, 0.000), Tl at (0.250, 0.250, 0.250), In at (0.250, 0.250, 0.750) and Hg at (0.000, 0.000, 0.500).